# Pr3Ag5Se12

A relaxed Pr3Ag5Se12 crystal (PBE, the Alexandria database).

It has space group Ia-3d (No. 230), with a = 16.3547 Å, b = 16.3547 Å, c = 16.3547 Å, α = 90.00°, β = 90.00° and γ = 90.00°. The distinct sites, in fractional coordinates, are Pr at (0.0000, 0.2500, 0.1250), Ag at (0.0000, 0.0000, 0.0000), Ag at (0.0000, 0.2500, 0.3750) and Se at (0.0194, 0.0617, 0.6493).

Its density of states at the Fermi level is 0.87 states/eV per atom. For the mass density, the calculation gives 5.80 g/cm³. Its total magnetization is 0.000 μB per formula unit. The value obtained for the uncorrected formation energy is -546.8 meV/atom. As for the crystal system: cubic.